Entry 1:
{"formula": "ErNbSi", "functional": "GGA-PBE", "state": "relaxed", "spacegroup": "Pmn2_1", "e_form_raw_mev_per_atom": -292.0, "dft_energy_ry_per_atom": -0.51282, "dos_at_fermi_per_ev_cell": 14.4, "volume_a3_per_cell": 378, "lattice": [[9.131, 0.000, 0.000], [0.000, 7.389, 0.000], [0.000, 0.000, 5.603]], "species": ["Er", "Er", "Er", "Er", "Er", "Er", "Nb", "Nb", "Nb", "Nb", "Nb", "Nb", "Si", "Si", "Si", "Si", "Si", "Si"], "fractional_positions": [[0.000, 0.095, 0.000], [0.191, 0.647, 0.743], [0.309, 0.353, 0.243], [0.500, 0.905, 0.500], [0.691, 0.353, 0.243], [0.809, 0.647, 0.743], [0.000, 0.660, 0.254], [0.159, 0.002, 0.471], [0.341, 0.998, 0.971], [0.500, 0.340, 0.754], [0.659, 0.998, 0.971], [0.841, 0.002, 0.471], [0.000, 0.324, 0.475], [0.228, 0.272, 0.750], [0.272, 0.728, 0.250], [0.500, 0.676, 0.975], [0.728, 0.728, 0.250], [0.772, 0.272, 0.750]]}

Entry 2:
{"formula": "Er2NbSi", "functional": "GGA-PBE", "state": "relaxed", "spacegroup": "R-3m", "e_form_raw_mev_per_atom": 361.4, "dft_energy_ry_per_atom": -0.42579, "dos_at_fermi_per_ev_cell": 3.9, "volume_a3_per_cell": 92, "lattice": [[1.607, 0.928, 10.296], [-1.607, 0.928, 10.296], [0.000, -1.856, 10.296]], "species": ["Er", "Er", "Nb", "Si"], "fractional_positions": [[0.095, 0.095, 0.095], [0.905, 0.905, 0.905], [0.000, 0.000, 0.000], [0.500, 0.500, 0.500]]}

Entry 3:
{"formula": "Sm2ErNb", "functional": "GGA-PBE", "state": "relaxed", "spacegroup": "R-3m", "dft_energy_ry_per_atom": -0.40201, "dos_at_fermi_per_ev_cell": 4.7, "delta_e_f_ev_per_atom": 0.5480, "volume_a3_per_cell": 112, "lattice": [[1.666, 0.962, 11.635], [-1.666, 0.962, 11.635], [0.000, -1.923, 11.635]], "species": ["Sm", "Sm", "Er", "Nb"], "fractional_positions": [[0.083, 0.083, 0.083], [0.917, 0.917, 0.917], [0.500, 0.500, 0.500], [0.000, 0.000, 0.000]]}

Entry 4:
{"formula": "ErNbSn2", "functional": "GGA-PBE", "state": "relaxed", "spacegroup": "P4/mmm", "dft_energy_ry_per_atom": -0.43191, "e_above_lowest_polymorph_ev_per_fu": 0.00, "dos_at_fermi_per_ev_cell": 4.6, "delta_e_f_ev_per_atom": -0.2168, "volume_a3_per_cell": 92, "lattice": [[3.744, 0.000, 0.000], [0.000, 3.744, 0.000], [0.000, 0.000, 6.574]], "species": ["Er", "Nb", "Sn", "Sn"], "fractional_positions": [[0.000, 0.000, 0.000], [0.000, 0.000, 0.500], [0.500, 0.500, 0.278], [0.500, 0.500, 0.722]]}

Entry 5:
{"formula": "ErNbSn2", "functional": "GGA-PBE", "state": "relaxed", "spacegroup": "R-3m", "dft_energy_ry_per_atom": -0.39701, "e_above_lowest_polymorph_ev_per_fu": 1.90, "dos_at_fermi_per_ev_cell": 3.6, "delta_e_f_ev_per_atom": 0.2580, "volume_a3_per_cell": 99, "lattice": [[1.599, 0.923, 11.186], [-1.599, 0.923, 11.186], [0.000, -1.846, 11.186]], "species": ["Er", "Nb", "Sn", "Sn"], "fractional_positions": [[0.000, 0.000, 0.000], [0.500, 0.500, 0.500], [0.415, 0.415, 0.415], [0.585, 0.585, 0.585]]}

Entry 6:
{"formula": "ErNb6Sn6", "functional": "GGA-PBE", "state": "relaxed", "spacegroup": "Immm", "dft_energy_ry_per_atom": -0.52584, "dos_at_fermi_per_ev_cell": 4.0, "delta_e_f_ev_per_atom": -0.3084, "volume_a3_per_cell": 280, "lattice": [[-2.899, 4.814, 5.021], [2.899, -4.814, 5.021], [2.899, 4.814, -5.021]], "species": ["Er", "Nb", "Nb", "Nb", "Nb", "Nb", "Nb", "Sn", "Sn", "Sn", "Sn", "Sn", "Sn"], "fractional_positions": [[0.000, 0.000, 0.000], [0.000, 0.000, 0.500], [0.000, 0.500, 0.000], [0.252, 0.500, 0.752], [0.500, 0.000, 0.000], [0.500, 0.500, 0.500], [0.748, 0.500, 0.248], [0.164, 0.664, 0.500], [0.325, 0.000, 0.325], [0.333, 0.333, 0.000], [0.667, 0.667, 0.000], [0.675, 0.000, 0.675], [0.836, 0.336, 0.500]]}